1.
Computed, not measured: AcNd2Y3 after structural relaxation at the PBE-GGA level of DFT.

abc: 3.478 12.159 8.174
angles: 138.06 102.28 90.00
Element x y z (fractional)
1 Y 0.669 0.672 0.339
2 Y 0.331 0.334 0.661
3 Y 0.000 0.991 0.000
4 Nd 0.838 0.588 0.676
5 Nd 0.162 0.913 0.324
6 Ac 0.500 0.245 0.000

## Properties
Total moment = 0.000 μB/atom
Energy of formation from the pure elements = 426 meV per atom

---

2.
Computed, not measured: AcNdY after structural relaxation at the PBE-GGA level of DFT.

abc: 5.133 5.133 8.876
angles: 90.00 90.00 90.00
Element x y z (fractional)
1 Nd 0.500 0.000 0.298
2 Y 0.000 0.500 0.307
3 Nd 0.000 0.500 0.702
4 Ac 0.500 0.500 0.000
5 Ac 0.000 0.000 0.000
6 Y 0.500 0.000 0.693

## Properties
Total moment = 0.000 μB/atom
Energy of formation from the pure elements = 288 meV per atom
Energy above the lowest structure with this stoichiometry = 23.9 kJ/mol of atoms

---

3.
Computed, not measured: Ac2NdY after structural relaxation at the PBE-GGA level of DFT.

abc: 3.885 3.885 10.316
angles: 90.00 90.00 90.00
Element x y z (fractional)
1 Y 0.500 0.500 0.000
2 Ac 0.000 0.000 0.246
3 Nd 0.500 0.500 0.500
4 Ac 0.000 0.000 0.754

## Properties
Total moment = 0.000 μB/atom
Energy of formation from the pure elements = 38 meV per atom
Energy above the lowest structure with this stoichiometry = 0.6 kJ/mol of atoms

---

4.
Computed, not measured: Ac5Nd12Y2 after structural relaxation at the PBE-GGA level of DFT.

abc: 7.403 9.052 12.143
angles: 109.47 107.75 90.00
Element x y z (fractional)
1 Nd 0.367 0.376 0.210
2 Nd 0.946 0.790 0.398
3 Nd 0.858 0.944 0.717
4 Ac 0.651 0.088 0.303
5 Nd 0.157 0.624 0.790
6 Nd 0.547 0.690 0.094
7 Ac 0.349 0.912 0.697
8 Ac 0.754 0.513 0.509
9 Y 0.257 0.000 0.000
10 Nd 0.054 0.210 0.602
11 Ac 0.246 0.487 0.491
12 Nd 0.453 0.310 0.906
13 Nd 0.142 0.056 0.283
14 Nd 0.452 0.790 0.398
15 Ac 0.000 0.500 0.000
16 Nd 0.633 0.624 0.790
17 Nd 0.843 0.376 0.210
18 Y 0.743 0.000 0.000
19 Nd 0.548 0.210 0.602

## Properties
Total moment = 0.000 μB/atom
Energy of formation from the pure elements = 146 meV per atom

---

5.
Computed, not measured: Ac3Nd8Y after structural relaxation at the PBE-GGA level of DFT.

abc: 9.314 9.314 9.314
angles: 77.50 137.81 118.39
Element x y z (fractional)
1 Y 0.000 0.000 0.000
2 Nd 0.990 0.645 0.931
3 Ac 0.500 0.369 0.869
4 Ac 0.500 0.631 0.131
5 Nd 0.531 0.055 0.270
6 Nd 0.714 0.059 0.069
7 Nd 0.784 0.260 0.730
8 Nd 0.469 0.740 0.524
9 Nd 0.216 0.945 0.476
10 Nd 0.010 0.941 0.655
11 Nd 0.286 0.355 0.345
12 Ac 0.000 0.500 0.500

## Properties
Total moment = 0.000 μB/atom
Energy of formation from the pure elements = 251 meV per atom

---

6.
Computed, not measured: Ac8NdY4 after structural relaxation at the PBE-GGA level of DFT.

abc: 11.826 11.826 8.359
angles: 90.00 135.02 120.00
Element x y z (fractional)
1 Ac 0.000 0.242 0.759
2 Y 0.000 0.000 0.000
3 Y 0.500 0.000 0.000
4 Nd 0.000 0.500 0.500
5 Ac 0.518 0.759 0.277
6 Y 0.500 0.500 0.000
7 Ac 0.000 0.241 0.241
8 Y 0.000 0.500 0.000
9 Ac 0.482 0.241 0.723
10 Ac 0.518 0.759 0.759
11 Ac 0.000 0.758 0.241
12 Ac 0.000 0.759 0.759
13 Ac 0.482 0.241 0.241

## Properties
Total moment = 0.000 μB/atom
Energy of formation from the pure elements = 402 meV per atom

---

7.
Computed, not measured: Ac5Nd4Y after structural relaxation at the PBE-GGA level of DFT.

abc: 4.444 4.444 20.013
angles: 90.00 90.00 90.00
Element x y z (fractional)
1 Ac 0.500 0.500 0.699
2 Ac 0.500 0.500 0.301
3 Ac 0.500 0.500 0.099
4 Nd 0.000 0.000 0.201
5 Nd 0.000 0.000 0.799
6 Ac 0.500 0.500 0.901
7 Ac 0.500 0.500 0.500
8 Y 0.000 0.000 0.000
9 Nd 0.000 0.000 0.400
10 Nd 0.000 0.000 0.600

## Properties
Total moment = 0.000 μB/atom
Energy of formation from the pure elements = 94 meV per atom

---

8.
Computed, not measured: Ac4Nd3Y after structural relaxation at the PBE-GGA level of DFT.

abc: 3.717 9.509 9.509
angles: 79.71 78.73 78.73
Element x y z (fractional)
1 Y 0.500 0.000 0.000
2 Ac 0.369 0.881 0.381
3 Nd 0.768 0.232 0.232
4 Nd 0.000 0.500 0.500
5 Ac 0.369 0.381 0.881
6 Nd 0.232 0.768 0.768
7 Ac 0.631 0.119 0.619
8 Ac 0.631 0.619 0.119

## Properties
Total moment = 0.000 μB/atom
Energy of formation from the pure elements = 136 meV per atom

---

9.
Computed, not measured: AcNd5Y2 after structural relaxation at the PBE-GGA level of DFT.

abc: 9.852 7.148 11.990
angles: 126.55 114.26 90.00
Element x y z (fractional)
1 Nd 0.646 0.043 0.293
2 Nd 0.354 0.957 0.707
3 Nd 0.000 0.750 0.000
4 Y 0.324 0.025 0.025
5 Nd 0.000 0.250 0.000
6 Ac 0.500 0.500 0.500
7 Nd 0.647 0.543 0.293
8 Y 0.676 0.975 0.975
9 Ac 0.000 0.000 0.500
10 Nd 0.303 0.843 0.342
11 Nd 0.039 0.343 0.342
12 Y 0.299 0.475 0.975
13 Y 0.701 0.525 0.025
14 Nd 0.961 0.657 0.658
15 Nd 0.697 0.157 0.658
16 Nd 0.353 0.457 0.707

## Properties
Total moment = 0.000 μB/atom
Energy of formation from the pure elements = 138 meV per atom
Energy above the lowest structure with this stoichiometry = 11.4 kJ/mol of atoms

---

10.
Computed, not measured: Ac2Nd3Y6 after structural relaxation at the PBE-GGA level of DFT.

abc: 6.299 6.306 12.052
angles: 85.00 79.96 60.04
Element x y z (fractional)
1 Y 0.918 0.668 0.243
2 Y 0.746 0.000 0.757
3 Y 0.082 0.332 0.757
4 Y 0.254 0.000 0.243
5 Ac 0.833 0.334 0.500
6 Ac 0.167 0.666 0.500
7 Nd 0.664 0.671 0.000
8 Nd 0.000 0.000 0.000
9 Y 0.586 0.332 0.243
10 Y 0.414 0.668 0.757
11 Nd 0.336 0.329 0.000

## Properties
Total moment = 0.000 μB/atom
Energy of formation from the pure elements = 179 meV per atom

---

| no. | Fermi-level density of states (states/eV per atom) | electronic total energy (eV per atom) | V (Å³ per atom) |
| --- | --- | --- | --- |
| 1 | 2.16 | -5.08 | 36.50 |
| 2 | 1.59 | -4.83 | 38.97 |
| 3 | 1.74 | -4.82 | 38.93 |
| 4 | 1.58 | -4.63 | 38.21 |
| 5 | 1.39 | -4.49 | 38.72 |
| 6 | 1.50 | -4.48 | 44.93 |
| 7 | 1.86 | -4.51 | 39.53 |
| 8 | 1.49 | -4.51 | 39.97 |
| 9 | 1.49 | -4.97 | 36.43 |
| 10 | 1.41 | -5.39 | 37.12 |